Here is crystalline Cr2RuPt at its relaxed geometry from the Alexandria database. Energies are from GGA-PBEsol.

Calculated values
Formation energy, kJ/mol of atoms: 16.8
M_tot, μB per formula unit: 0.0
Total DFT energy (no corrections), eV for the cell shown: -36.9

a = 3.1174 Å, b = 3.1174 Å, c = 5.3739 Å
α = 90.00°, β = 90.00°, γ = 90.00°
With the nearest neighbours (Å) after each atom.
Fractional positions:
1 Cr 0.0000 0.0000 0.2156  1 Cr 2.32, 4 Ru 2.49
2 Cr 0.0000 0.0000 0.7844  1 Cr 2.32, 4 Ru 2.49
3 Ru 0.5000 0.5000 0.0000  8 Cr 2.49, 2 Pt 2.69
4 Pt 0.5000 0.5000 0.5000  8 Cr 2.68, 2 Ru 2.69

Here is crystalline Cr3RuPt at its relaxed geometry from the Alexandria database. Energies are from GGA-PBEsol.

Calculated values
Formation energy, kJ/mol of atoms: 140.7
M_tot, μB per formula unit: 8.9
Total DFT energy (no corrections), eV for the cell shown: -40.6

a = 4.4603 Å, b = 4.4603 Å, c = 4.4603 Å
α = 90.00°, β = 90.00°, γ = 90.00°
With the nearest neighbours (Å) after each atom.
Fractional positions:
1 Cr 0.0000 0.0000 0.5000  2 Ru 2.23
2 Cr 0.0000 0.5000 0.0000  2 Ru 2.23
3 Cr 0.5000 0.0000 0.0000  2 Ru 2.23
4 Ru 0.0000 0.0000 0.0000  6 Cr 2.23
5 Pt 0.5000 0.5000 0.5000  12 Cr 3.15

Here is crystalline Cr4RuPt at its relaxed geometry from the Alexandria database. Energies are from GGA-PBEsol.

Calculated values
Formation energy, kJ/mol of atoms: -4.8
M_tot, μB per formula unit: 0.0
Total DFT energy (no corrections), eV for the cell shown: -58.4

a = 4.6770 Å, b = 4.6770 Å, c = 4.6770 Å
α = 60.00°, β = 60.00°, γ = 60.00°
With the nearest neighbours (Å) after each atom.
Fractional positions:
1 Cr 0.3763 0.3763 0.3763  6 Cr 2.31-2.36
2 Cr 0.3763 0.3763 0.8711  6 Cr 2.31-2.36
3 Cr 0.3763 0.8711 0.3763  6 Cr 2.31-2.36
4 Cr 0.8711 0.3763 0.3763  6 Cr 2.31-2.36
5 Ru 0.0000 0.0000 0.0000  12 Cr 2.74, 4 Pt 2.86
6 Pt 0.7500 0.7500 0.7500  12 Cr 2.74, 4 Ru 2.86

Here is crystalline CrPt3S at its relaxed geometry from the Alexandria database. Energies are from GGA-PBEsol.

Calculated values
M_tot, μB per formula unit: 4.4
E_form (uncorrected), eV/atom: 0.494
Total DFT energy (no corrections), eV for the cell shown: -33.0

a = 4.4356 Å, b = 4.4356 Å, c = 4.4356 Å
α = 90.00°, β = 90.00°, γ = 90.00°
With the nearest neighbours (Å) after each atom.
Fractional positions:
1 Cr 0.0000 0.0000 0.0000  12 Pt 3.14
2 Pt 0.0000 0.5000 0.5000  2 S 2.22
3 Pt 0.5000 0.0000 0.5000  2 S 2.22
4 Pt 0.5000 0.5000 0.0000  2 S 2.22
5 S 0.5000 0.5000 0.5000  6 Pt 2.22

Here is crystalline CrSbPt2 at its relaxed geometry from the Alexandria database. Energies are from GGA-PBEsol.

Calculated values
M_tot, μB per formula unit: 3.4
E_form (uncorrected), eV/atom: -0.072
Total DFT energy (no corrections), eV for the cell shown: -58.0

a = 3.9889 Å, b = 3.9889 Å, c = 8.0557 Å
α = 90.00°, β = 90.00°, γ = 90.00°
With the nearest neighbours (Å) after each atom.
Fractional positions:
1 Cr 0.0000 0.0000 0.0000  4 Sb 2.82, 8 Pt 2.83
2 Cr 0.5000 0.5000 0.5000  4 Sb 2.82, 8 Pt 2.83
3 Sb 0.0000 0.0000 0.5000  4 Cr 2.82, 8 Pt 2.83
4 Sb 0.5000 0.5000 0.0000  4 Cr 2.82, 8 Pt 2.83
5 Pt 0.0000 0.5000 0.2500  4 Pt 2.82, 4 Cr 2.83, 4 Sb 2.83
6 Pt 0.0000 0.5000 0.7500  4 Pt 2.82, 4 Cr 2.83, 4 Sb 2.83
7 Pt 0.5000 0.0000 0.2500  4 Pt 2.82, 4 Cr 2.83, 4 Sb 2.83
8 Pt 0.5000 0.0000 0.7500  4 Pt 2.82, 4 Cr 2.83, 4 Sb 2.83

Here is crystalline CrSbPt2 at its relaxed geometry from the Alexandria database. Energies are from GGA-PBEsol.

Calculated values
M_tot, μB per formula unit: 2.8
E_form (uncorrected), eV/atom: -0.122
Total DFT energy (no corrections), eV for the cell shown: -29.2

a = 3.9556 Å, b = 3.9556 Å, c = 4.0487 Å
α = 90.00°, β = 90.00°, γ = 90.00°
With the nearest neighbours (Å) after each atom.
Fractional positions:
1 Cr 0.0000 0.0000 0.0000  4 Sb 2.80, 8 Pt 2.83
2 Sb 0.5000 0.5000 0.0000  4 Cr 2.80, 8 Pt 2.83
3 Pt 0.0000 0.5000 0.5000  4 Pt 2.80, 4 Sb 2.83, 4 Cr 2.83
4 Pt 0.5000 0.0000 0.5000  4 Pt 2.80, 4 Sb 2.83, 4 Cr 2.83

Here is crystalline CrSbPt2 at its relaxed geometry from the Alexandria database. Energies are from GGA-PBEsol.

Calculated values
M_tot, μB per formula unit: 3.2
E_form (uncorrected), eV/atom: -0.110
Total DFT energy (no corrections), eV for the cell shown: -58.3

a = 5.5091 Å, b = 6.3998 Å, c = 3.6894 Å
α = 90.00°, β = 90.00°, γ = 90.00°
With the nearest neighbours (Å) after each atom.
Fractional positions:
1 Cr 0.0000 0.0000 0.0000  2 Sb 2.75, 8 Pt 2.80
2 Cr 0.5000 0.5000 0.0000  2 Sb 2.75, 8 Pt 2.80
3 Sb 0.0000 0.5000 0.0000  2 Cr 2.75, 8 Pt 2.80
4 Sb 0.5000 0.0000 0.0000  2 Cr 2.75, 8 Pt 2.80
5 Pt 0.2500 0.2500 0.5000  2 Pt 2.75, 4 Cr 2.80, 4 Sb 2.80
6 Pt 0.2500 0.7500 0.5000  2 Pt 2.75, 4 Sb 2.80, 4 Cr 2.80
7 Pt 0.7500 0.2500 0.5000  2 Pt 2.75, 4 Sb 2.80, 4 Cr 2.80
8 Pt 0.7500 0.7500 0.5000  2 Pt 2.75, 4 Cr 2.80, 4 Sb 2.80

Here is crystalline CrSbPt2 at its relaxed geometry from the Alexandria database. Energies are from GGA-PBEsol.

Calculated values
M_tot, μB per formula unit: 3.6
E_form (uncorrected), eV/atom: 0.009
Total DFT energy (no corrections), eV for the cell shown: -28.7

a = 3.5076 Å, b = 3.5076 Å, c = 5.4496 Å
α = 90.00°, β = 90.00°, γ = 90.00°
With the nearest neighbours (Å) after each atom.
Fractional positions:
1 Cr 0.0000 0.0000 0.0000  6 Pt 2.61-2.84
2 Sb 0.5000 0.5000 0.6903  6 Pt 2.70-2.75, 4 Cr 3.00
3 Pt 0.0000 0.0000 0.4792  2 Cr 2.61-2.84, 4 Sb 2.73
4 Pt 0.5000 0.5000 0.1859  4 Cr 2.68, 2 Sb 2.70-2.75, 4 Pt 2.95

Here is crystalline ScCrPt2 at its relaxed geometry from the Alexandria database. Energies are from GGA-PBEsol.

Calculated values
Formation energy, kJ/mol of atoms: -25.8
M_tot, μB per formula unit: 0.3
Total DFT energy (no corrections), eV for the cell shown: -31.8

a = 2.8270 Å, b = 2.8270 Å, c = 7.5835 Å
α = 90.00°, β = 90.00°, γ = 90.00°
With the nearest neighbours (Å) after each atom.
Fractional positions:
1 Sc 0.0000 0.0000 0.0000  4 Pt 2.80, 4 Sc 2.83, 4 Cr 2.83
2 Cr 0.5000 0.5000 0.2643  4 Pt 2.53, 4 Cr 2.83
3 Pt 0.0000 0.0000 0.4682  4 Cr 2.53, 4 Pt 2.83
4 Pt 0.5000 0.5000 0.7415  4 Sc 2.80, 8 Pt 2.83-2.88

Here is crystalline ScCrPt2 at its relaxed geometry from the Alexandria database. Energies are from GGA-PBEsol.

Calculated values
Formation energy, kJ/mol of atoms: -41.8
M_tot, μB per formula unit: 3.1
Total DFT energy (no corrections), eV for the cell shown: -32.5

a = 3.4194 Å, b = 3.4194 Å, c = 5.5614 Å
α = 90.00°, β = 90.00°, γ = 90.00°
With the nearest neighbours (Å) after each atom.
Fractional positions:
1 Sc 0.0000 0.0000 0.0000  6 Pt 2.68-2.88
2 Cr 0.5000 0.5000 0.3224  5 Pt 2.58-2.61
3 Pt 0.0000 0.0000 0.4825  4 Cr 2.58, 2 Sc 2.68-2.88
4 Pt 0.5000 0.5000 0.7914  1 Cr 2.61, 4 Sc 2.68

Here is crystalline ScCrPt3 at its relaxed geometry from the Alexandria database. Energies are from GGA-PBEsol.

Calculated values
Formation energy, kJ/mol of atoms: 86.6
M_tot, μB per formula unit: 4.5
Total DFT energy (no corrections), eV for the cell shown: -33.3

a = 4.6937 Å, b = 4.6937 Å, c = 4.6937 Å
α = 90.00°, β = 90.00°, γ = 90.00°
With the nearest neighbours (Å) after each atom.
Fractional positions:
1 Sc 0.0000 0.0000 0.0000  6 Pt 2.35
2 Cr 0.5000 0.5000 0.5000  12 Pt 3.32
3 Pt 0.0000 0.0000 0.5000  2 Sc 2.35
4 Pt 0.0000 0.5000 0.0000  2 Sc 2.35
5 Pt 0.5000 0.0000 0.0000  2 Sc 2.35

Here is crystalline ScCrPt2 at its relaxed geometry from the Alexandria database. Energies are from GGA-PBEsol.

Calculated values
Formation energy, kJ/mol of atoms: -55.8
M_tot, μB per formula unit: 3.9
Total DFT energy (no corrections), eV for the cell shown: -132.4

a = 6.3314 Å, b = 6.3314 Å, c = 6.3314 Å
α = 90.00°, β = 90.00°, γ = 90.00°
With the nearest neighbours (Å) after each atom.
Fractional positions:
1 Sc 0.0000 0.0000 0.0000  8 Pt 2.74
2 Sc 0.0000 0.5000 0.5000  8 Pt 2.74
3 Sc 0.5000 0.0000 0.5000  8 Pt 2.74
4 Sc 0.5000 0.5000 0.0000  8 Pt 2.74
5 Cr 0.0000 0.0000 0.5000  8 Pt 2.74
6 Cr 0.0000 0.5000 0.0000  8 Pt 2.74
7 Cr 0.5000 0.0000 0.0000  8 Pt 2.74
8 Cr 0.5000 0.5000 0.5000  8 Pt 2.74
9 Pt 0.2500 0.2500 0.2500  4 Cr 2.74, 4 Sc 2.74
10 Pt 0.2500 0.2500 0.7500  4 Cr 2.74, 4 Sc 2.74
11 Pt 0.2500 0.7500 0.2500  4 Cr 2.74, 4 Sc 2.74
12 Pt 0.2500 0.7500 0.7500  4 Cr 2.74, 4 Sc 2.74
13 Pt 0.7500 0.2500 0.2500  4 Cr 2.74, 4 Sc 2.74
14 Pt 0.7500 0.2500 0.7500  4 Cr 2.74, 4 Sc 2.74
15 Pt 0.7500 0.7500 0.2500  4 Cr 2.74, 4 Sc 2.74
16 Pt 0.7500 0.7500 0.7500  4 Cr 2.74, 4 Sc 2.74